(1)
Below is a relaxed KMgAgHg2 crystal, with properties calculated at the PBE level.

Values from the calculation:
- E: -6.2 eV for the cell shown
- Formation energy from the elements: -0.0017 eV/atom

Cell lengths 5.5294, 5.5294, 5.3345 Å; angles 90.00, 90.00, 90.00 degrees
Fractional positions:
K  0.0000  0.0000  0.0000
Mg  0.5000  0.5000  0.5000
Ag  0.5000  0.5000  0.0000
Hg  0.0000  0.5000  0.5000
Hg  0.5000  0.0000  0.5000

(2)
Below is a relaxed Rb3HgB crystal, with properties calculated at the PBE level.

Values from the calculation:
- E: -6.4 eV for the cell shown
- Formation energy from the elements: 0.6974 eV/atom

Cell lengths 6.3992, 6.3992, 6.3992 Å; angles 90.00, 90.00, 90.00 degrees
Fractional positions:
Rb  0.0000  0.0000  0.5000
Rb  0.0000  0.5000  0.0000
Rb  0.5000  0.0000  0.0000
Hg  0.5000  0.5000  0.5000
B  0.0000  0.0000  0.0000

(3)
Below is a relaxed KGa2GeRu crystal, with properties calculated at the PBE level.

Values from the calculation:
- E: -21.7 eV for the cell shown
- Formation energy from the elements: -0.1300 eV/atom

Cell lengths 4.8745, 4.8745, 4.8578 Å; angles 90.00, 90.00, 90.00 degrees
Fractional positions:
K  0.0000  0.0000  0.0000
Ga  0.0000  0.5000  0.5000
Ga  0.5000  0.0000  0.5000
Ge  0.5000  0.5000  0.0000
Ru  0.5000  0.5000  0.5000

(4)
Below is a relaxed LiCr2P crystal, with properties calculated at the PBE level.

Values from the calculation:
- E: -51.0 eV for the cell shown
- Formation energy from the elements: 0.2716 eV/atom

Cell lengths 3.0309, 4.1916, 7.9147 Å; angles 90.00, 90.00, 90.00 degrees
Fractional positions:
Li  0.0000  0.0000  0.0000
Li  0.5000  0.5000  0.0000
Cr  0.0000  0.5000  0.2844
Cr  0.0000  0.5000  0.7156
Cr  0.5000  0.0000  0.2844
Cr  0.5000  0.0000  0.7156
P  0.0000  0.0000  0.5000
P  0.5000  0.5000  0.5000

(5)
Below is a relaxed Rb2H6PbAu2 crystal, with properties calculated at the PBE level.

Values from the calculation:
- E: -32.5 eV for the cell shown

Cell lengths 6.2231, 6.2231, 6.9869 Å; angles 115.58, 115.58, 59.03 degrees
Fractional positions:
Rb  0.2222  0.2222  0.1644
Rb  0.7778  0.7778  0.8356
H  0.2050  0.7391  0.7436
H  0.2504  0.2504  0.7183
H  0.2609  0.7950  0.2564
H  0.7391  0.2050  0.7436
H  0.7496  0.7496  0.2817
H  0.7950  0.2609  0.2564
Pb  0.0000  0.0000  0.5000
Au  0.4267  0.4267  0.7453
Au  0.5733  0.5733  0.2547

(6)
Below is a relaxed Cs2H3Pd crystal, with properties calculated at the PBE level.

Values from the calculation:
- E: -35.1 eV for the cell shown

Cell lengths 8.4685, 8.4685, 7.4727 Å; angles 94.55, 94.55, 142.15 degrees
Fractional positions:
Cs  0.0000  0.0000  0.0000
Cs  0.0000  0.0000  0.5000
Cs  0.3388  0.6612  0.0000
Cs  0.6612  0.3388  0.0000
H  0.0421  0.5575  0.6521
H  0.4425  0.9579  0.3479
H  0.4440  0.4440  0.8094
H  0.5560  0.5560  0.1906
H  0.5575  0.0421  0.6521
H  0.9579  0.4425  0.3479
Pd  0.2482  0.7518  0.5000
Pd  0.7518  0.2482  0.5000

(7)
Below is a relaxed Cs2CaTaCr crystal, with properties calculated at the PBE level.

Values from the calculation:
- E: -18.1 eV for the cell shown
- Formation energy from the elements: 1.4262 eV/atom

Cell lengths 6.9262, 6.9262, 4.7625 Å; angles 90.00, 90.00, 90.00 degrees
Fractional positions:
Cs  0.0000  0.5000  0.0000
Cs  0.5000  0.0000  0.0000
Ca  0.0000  0.0000  0.5000
Ta  0.5000  0.5000  0.5000
Cr  0.5000  0.5000  0.0000

(8)
Below is a relaxed LiCaBRu2 crystal, with properties calculated at the PBE level.

Values from the calculation:
- E: -29.1 eV for the cell shown
- Formation energy from the elements: 0.0157 eV/atom

Cell lengths 4.1568, 4.1568, 4.4604 Å; angles 90.00, 90.00, 90.00 degrees
Fractional positions:
Li  0.0000  0.0000  0.0000
Ca  0.5000  0.5000  0.0000
B  0.0000  0.0000  0.5000
Ru  0.0000  0.5000  0.5000
Ru  0.5000  0.0000  0.5000

(9)
Below is a relaxed Mg2Pd3Au crystal, with properties calculated at the PBE level.

Values from the calculation:
- E: -51.4 eV for the cell shown
- Formation energy from the elements: -0.6118 eV/atom

Cell lengths 4.1821, 12.5274, 3.7237 Å; angles 90.00, 90.00, 90.00 degrees
Fractional positions:
Mg  0.0000  0.1593  0.0000
Mg  0.0000  0.8407  0.0000
Mg  0.5000  0.3407  0.0000
Mg  0.5000  0.6593  0.0000
Pd  0.0000  0.0000  0.5000
Pd  0.0000  0.3284  0.5000
Pd  0.0000  0.6716  0.5000
Pd  0.5000  0.1716  0.5000
Pd  0.5000  0.5000  0.5000
Pd  0.5000  0.8284  0.5000
Au  0.0000  0.5000  0.0000
Au  0.5000  0.0000  0.0000

(10)
Below is a relaxed SnGeH3 crystal, with properties calculated at the PBE level.

Values from the calculation:
- E: -15.9 eV for the cell shown

Cell lengths 3.8967, 3.8967, 3.8967 Å; angles 90.00, 90.00, 90.00 degrees
Fractional positions:
Sn  0.0000  0.0000  0.0000
Ge  0.5000  0.5000  0.5000
H  0.0000  0.5000  0.5000
H  0.5000  0.0000  0.5000
H  0.5000  0.5000  0.0000

(11)
Below is a relaxed TmCo4Os crystal, with properties calculated at the PBE level.

Values from the calculation:
- E: -44.2 eV for the cell shown
- Formation energy from the elements: -0.0167 eV/atom

Cell lengths 4.8538, 4.8538, 4.8538 Å; angles 60.00, 60.00, 60.00 degrees
Fractional positions:
Tm  0.0000  0.0000  0.0000
Co  0.3749  0.3749  0.3749
Co  0.3749  0.3749  0.8754
Co  0.3749  0.8754  0.3749
Co  0.8754  0.3749  0.3749
Os  0.7500  0.7500  0.7500

(12)
Below is a relaxed Cd2Bi2Te3Se3 crystal, with properties calculated at the PBE level.

Values from the calculation:
- Formation energy (no corrections): -2.2 eV/f.u.
- E: -31.7 eV for the cell shown

Cell lengths 21.2364, 21.2364, 21.2364 Å; angles 11.11, 11.11, 11.11 degrees
Fractional positions:
Cd  0.0000  0.0000  0.0000
Cd  0.4988  0.4988  0.4988
Bi  0.1082  0.1082  0.1082
Bi  0.6091  0.6091  0.6091
Te  0.1947  0.1947  0.1947
Te  0.6956  0.6956  0.6956
Te  0.9127  0.9127  0.9127
Se  0.3076  0.3076  0.3076
Se  0.4162  0.4162  0.4162
Se  0.8067  0.8067  0.8067

Calculated volume / Å³/cell: 163.1; 262.1; 115.4; 100.6; 201.4; 318.8; 228.5; 77.1; 195.1; 59.2; 80.9; 308.9
DOS at the Fermi energy / states/eV per atom: 0.58; 0.98; 0.82; 0.93; 0.08; 0.12; 1.25; 0.97; 0.32; 0.24; 0.74; 0.88
Mass density / g cm⁻³: 5.83; 2.96; 5.07; 4.69; 6.41; 3.91; 3.92; 5.60; 9.62; 5.45; 12.22; 6.79